Model a:
Density functional theory data (PBE) for an optimized crystal structure of Nb3CrSi.

POSCAR file:
```
Nb3CrSi
1.0
4.6199 0.0000 0.0000
0.0000 4.6199 0.0000
0.0000 0.0000 4.6199
Nb Cr Si
3 1 1
direct
0.0000 0.0000 0.5000 Nb
0.0000 0.5000 0.0000 Nb
0.5000 0.0000 0.0000 Nb
0.5000 0.5000 0.5000 Cr
0.0000 0.0000 0.0000 Si
```

Results
Mass density, g cm⁻³: 6.0
DOS at the Fermi energy, states/eV/f.u.: 12.9


Model b:
Density functional theory data (PBE) for an optimized crystal structure of Nb3CrSi.

POSCAR file:
```
Nb3CrSi
1.0
4.5715 0.0000 0.0000
0.0000 4.5715 0.0000
0.0000 0.0000 4.5715
Nb Cr Si
3 1 1
direct
0.0000 0.0000 0.5000 Nb
0.0000 0.5000 0.0000 Nb
0.5000 0.0000 0.0000 Nb
0.0000 0.0000 0.0000 Cr
0.5000 0.5000 0.5000 Si
```

Results
Mass density, g cm⁻³: 6.2
DOS at the Fermi energy, states/eV/f.u.: 2.8


Bottom line: model b, by a margin of 213 meV per atom.


Model a:
Density functional theory data (PBE) for an optimized crystal structure of NbCrSn2.

POSCAR file:
```
NbCrSn2
1.0
-3.7648 3.7648 2.9832
3.7648 -3.7648 2.9832
3.7648 3.7648 -2.9832
Nb Cr Sn
2 2 4
direct
0.0000 0.0000 0.0000 Nb
0.7500 0.2500 0.5000 Nb
0.2500 0.7500 0.5000 Cr
0.5000 0.5000 0.0000 Cr
0.1417 0.6250 0.0167 Sn
0.3750 0.3917 0.5167 Sn
0.6083 0.1250 0.9833 Sn
0.8750 0.8583 0.4833 Sn
```

Results
Mass density, g cm⁻³: 7.5
DOS at the Fermi energy, states/eV/f.u.: 2.3


Model b:
Density functional theory data (PBE) for an optimized crystal structure of NbCrSn2.

POSCAR file:
```
NbCrSn2
1.0
1.5903 0.9182 10.2174
-1.5903 0.9182 10.2174
0.0000 -1.8363 10.2174
Nb Cr Sn
1 1 2
direct
0.0000 0.0000 0.0000 Nb
0.5000 0.5000 0.5000 Cr
0.4101 0.4101 0.4101 Sn
0.5899 0.5899 0.5899 Sn
```

Results
Mass density, g cm⁻³: 7.1
DOS at the Fermi energy, states/eV/f.u.: 1.9


Model c:
Density functional theory data (PBE) for an optimized crystal structure of NbCrSn2.

POSCAR file:
```
NbCrSn2
1.0
0.0000 3.3286 3.3286
3.3286 0.0000 3.3286
3.3286 3.3286 0.0000
Nb Cr Sn
1 1 2
direct
0.0000 0.0000 0.0000 Nb
0.5000 0.5000 0.5000 Cr
0.2500 0.2500 0.2500 Sn
0.7500 0.7500 0.7500 Sn
```

Results
Mass density, g cm⁻³: 8.6
DOS at the Fermi energy, states/eV/f.u.: 3.2


Bottom line: model c, by a margin of 42 meV per atom.


Model a:
Density functional theory data (PBE) for an optimized crystal structure of SrNbCr2.

POSCAR file:
```
SrNbCr2
1.0
-2.5165 2.5165 8.4512
2.5165 -2.5165 8.4512
2.5165 2.5165 -8.4512
Sr Nb Cr
2 2 4
direct
0.3750 0.6250 0.7500 Sr
0.6250 0.3750 0.2500 Sr
0.1250 0.8750 0.2500 Nb
0.8750 0.1250 0.7500 Nb
0.0000 0.0000 0.0000 Cr
0.0000 0.0000 0.5000 Cr
0.0000 0.5000 0.0000 Cr
0.5000 0.0000 0.5000 Cr
```

Results
Mass density, g cm⁻³: 4.4
DOS at the Fermi energy, states/eV/f.u.: 3.0


Model b:
Density functional theory data (PBE) for an optimized crystal structure of SrNbCr2.

POSCAR file:
```
SrNbCr2
1.0
0.0000 3.4438 3.4438
3.4438 0.0000 3.4438
3.4438 3.4438 0.0000
Sr Nb Cr
1 1 2
direct
0.0000 0.0000 0.0000 Sr
0.5000 0.5000 0.5000 Nb
0.2500 0.2500 0.2500 Cr
0.7500 0.7500 0.7500 Cr
```

Results
Mass density, g cm⁻³: 5.8
DOS at the Fermi energy, states/eV/f.u.: 2.1


Bottom line: model b, by a margin of 284 meV per atom.


Model a:
Density functional theory data (PBE) for an optimized crystal structure of SrNb3Cr.

POSCAR file:
```
SrNb3Cr
1.0
4.8213 0.0000 0.0000
0.0000 4.8213 0.0000
0.0000 0.0000 4.8213
Sr Nb Cr
1 3 1
direct
0.0000 0.0000 0.0000 Sr
0.0000 0.5000 0.5000 Nb
0.5000 0.0000 0.5000 Nb
0.5000 0.5000 0.0000 Nb
0.5000 0.5000 0.5000 Cr
```

Results
Mass density, g cm⁻³: 6.2
DOS at the Fermi energy, states/eV/f.u.: 3.4


Model b:
Density functional theory data (PBE) for an optimized crystal structure of SrNb3Cr.

POSCAR file:
```
SrNb3Cr
1.0
4.7925 0.0000 0.0000
0.0000 4.7925 0.0000
0.0000 0.0000 4.7925
Sr Nb Cr
1 3 1
direct
0.0000 0.0000 0.0000 Sr
0.0000 0.0000 0.5000 Nb
0.0000 0.5000 0.0000 Nb
0.5000 0.0000 0.0000 Nb
0.5000 0.5000 0.5000 Cr
```

Results
Mass density, g cm⁻³: 6.3
DOS at the Fermi energy, states/eV/f.u.: 15.9


Bottom line: model a, by a margin of 2147 meV per atom.


Model a:
Density functional theory data (PBE) for an optimized crystal structure of Sr3NbCr.

POSCAR file:
```
Sr3NbCr
1.0
5.8732 0.0000 0.0000
0.0000 5.8732 0.0000
0.0000 0.0000 5.8732
Sr Nb Cr
3 1 1
direct
0.0000 0.0000 0.5000 Sr
0.0000 0.5000 0.0000 Sr
0.5000 0.0000 0.0000 Sr
0.0000 0.0000 0.0000 Nb
0.5000 0.5000 0.5000 Cr
```

Results
Mass density, g cm⁻³: 3.3
DOS at the Fermi energy, states/eV/f.u.: 3.1


Model b:
Density functional theory data (PBE) for an optimized crystal structure of Sr3NbCr.

POSCAR file:
```
Sr3NbCr
1.0
6.0381 0.0000 0.0000
0.0000 6.0381 0.0000
0.0000 0.0000 6.0381
Sr Nb Cr
3 1 1
direct
0.0000 0.0000 0.5000 Sr
0.0000 0.5000 0.0000 Sr
0.5000 0.0000 0.0000 Sr
0.5000 0.5000 0.5000 Nb
0.0000 0.0000 0.0000 Cr
```

Results
Mass density, g cm⁻³: 3.1
DOS at the Fermi energy, states/eV/f.u.: 6.1


Bottom line: model a, by a margin of 9 meV per atom.


Model a:
Density functional theory data (PBE) for an optimized crystal structure of TaNb2Cr.

POSCAR file:
```
TaNb2Cr
1.0
3.1916 0.0000 0.0000
0.0000 3.1916 0.0000
0.0000 0.0000 6.5410
Ta Nb Cr
1 2 1
direct
0.0000 0.0000 0.0000 Ta
0.5000 0.5000 0.2675 Nb
0.5000 0.5000 0.7325 Nb
0.0000 0.0000 0.5000 Cr
```

Results
Mass density, g cm⁻³: 10.4
DOS at the Fermi energy, states/eV/f.u.: 5.7


Model b:
Density functional theory data (PBE) for an optimized crystal structure of TaNb2Cr.

POSCAR file:
```
TaNb2Cr
1.0
1.5153 0.8749 8.6407
-1.5153 0.8749 8.6407
0.0000 -1.7497 8.6407
Ta Nb Cr
1 2 1
direct
0.0000 0.0000 0.0000 Ta
0.2413 0.2413 0.2413 Nb
0.7587 0.7587 0.7587 Nb
0.5000 0.5000 0.5000 Cr
```

Results
Mass density, g cm⁻³: 10.1
DOS at the Fermi energy, states/eV/f.u.: 5.9


Model c:
Density functional theory data (PBE) for an optimized crystal structure of TaNb2Cr.

POSCAR file:
```
TaNb2Cr
1.0
0.0000 3.2183 3.2183
3.2183 0.0000 3.2183
3.2183 3.2183 0.0000
Ta Nb Cr
1 2 1
direct
0.0000 0.0000 0.0000 Ta
0.2500 0.2500 0.2500 Nb
0.7500 0.7500 0.7500 Nb
0.5000 0.5000 0.5000 Cr
```

Results
Mass density, g cm⁻³: 10.4
DOS at the Fermi energy, states/eV/f.u.: 5.2


Model d:
Density functional theory data (PBE) for an optimized crystal structure of TaNb2Cr.

POSCAR file:
```
TaNb2Cr
1.0
-3.5951 3.5951 2.7360
3.5951 -3.5951 2.7360
3.5951 3.5951 -2.7360
Ta Nb Cr
2 4 2
direct
0.0000 0.0000 0.0000 Ta
0.7500 0.2500 0.5000 Ta
0.1558 0.1250 0.5308 Nb
0.3750 0.8442 0.9692 Nb
0.5942 0.6250 0.4692 Nb
0.8750 0.4058 0.0308 Nb
0.2500 0.7500 0.5000 Cr
0.5000 0.5000 0.0000 Cr
```

Results
Mass density, g cm⁻³: 9.8
DOS at the Fermi energy, states/eV/f.u.: 4.2


Bottom line: model a, by a margin of 46 meV per atom.


Model a:
Density functional theory data (PBE) for an optimized crystal structure of TaNbCr.

POSCAR file:
```
TaNbCr
1.0
8.5046 0.0000 0.0000
0.0000 2.6455 4.4244
0.0000 -2.6455 4.4244
Ta Nb Cr
4 4 4
direct
0.0000 0.2448 0.7552 Ta
0.0000 0.7552 0.2448 Ta
0.2657 0.4046 0.4046 Ta
0.7343 0.4046 0.4046 Ta
0.2000 0.7428 0.7428 Nb
0.3218 0.0745 0.0745 Nb
0.6782 0.0745 0.0745 Nb
0.8000 0.7428 0.7428 Nb
0.0000 0.2465 0.2465 Cr
0.5000 0.0552 0.5860 Cr
0.5000 0.5860 0.0552 Cr
0.5000 0.5856 0.5856 Cr
```

Results
Mass density, g cm⁻³: 10.9
DOS at the Fermi energy, states/eV/f.u.: 2.5


Model b:
Density functional theory data (PBE) for an optimized crystal structure of TaNbCr.

POSCAR file:
```
TaNbCr
1.0
-1.5702 1.5702 4.8878
1.5702 -1.5702 4.8878
1.5702 1.5702 -4.8878
Ta Nb Cr
1 1 1
direct
0.0000 0.0000 0.0000 Ta
0.6890 0.6890 0.0000 Nb
0.3449 0.3449 0.0000 Cr
```

Results
Mass density, g cm⁻³: 11.2
DOS at the Fermi energy, states/eV/f.u.: 3.9


Model c:
Density functional theory data (PBE) for an optimized crystal structure of TaNbCr.

POSCAR file:
```
TaNbCr
1.0
4.4073 0.0000 0.0000
-2.2036 3.8168 0.0000
0.0000 0.0000 2.8830
Ta Nb Cr
1 1 1
direct
0.0000 0.0000 0.0000 Ta
0.6667 0.3333 0.3740 Nb
0.3333 0.6667 0.6792 Cr
```

Results
Mass density, g cm⁻³: 11.2
DOS at the Fermi energy, states/eV/f.u.: 2.8


Bottom line: model b, by a margin of 69 meV per atom.


Model a:
Density functional theory data (PBE) for an optimized crystal structure of Ta3NbCr.

POSCAR file:
```
Ta3NbCr
1.0
4.6013 0.0000 0.0000
0.0000 4.6013 0.0000
0.0000 0.0000 4.6013
Ta Nb Cr
3 1 1
direct
0.0000 0.0000 0.5000 Ta
0.0000 0.5000 0.0000 Ta
0.5000 0.0000 0.0000 Ta
0.5000 0.5000 0.5000 Nb
0.0000 0.0000 0.0000 Cr
```

Results
Mass density, g cm⁻³: 11.7
DOS at the Fermi energy, states/eV/f.u.: 3.9


Model b:
Density functional theory data (PBE) for an optimized crystal structure of Ta3NbCr.

POSCAR file:
```
Ta3NbCr
1.0
4.8609 0.0000 0.0000
0.0000 4.8609 0.0000
0.0000 0.0000 4.8609
Ta Nb Cr
3 1 1
direct
0.0000 0.0000 0.5000 Ta
0.0000 0.5000 0.0000 Ta
0.5000 0.0000 0.0000 Ta
0.0000 0.0000 0.0000 Nb
0.5000 0.5000 0.5000 Cr
```

Results
Mass density, g cm⁻³: 9.9
DOS at the Fermi energy, states/eV/f.u.: 5.0


Bottom line: model a, by a margin of 853 meV per atom.